{
  "formula": "Er12ReBi6",
  "functional": "PBE",
  "state": "optimized geometry",
  "lattice": [[-1.584, -5.319, 6.580], [4.110, -5.415, -5.281], [6.739, 4.294, 3.201]],
  "species": ["Er", "Er", "Er", "Er", "Er", "Er", "Er", "Er", "Er", "Er", "Er", "Er", "Re", "Bi", "Bi", "Bi", "Bi", "Bi", "Bi"],
  "fractional_positions": [[0.795, 0.589, 0.462], [0.462, 0.795, 0.589], [0.589, 0.462, 0.795], [0.205, 0.411, 0.538], [0.538, 0.205, 0.411], [0.411, 0.538, 0.205], [0.056, 0.999, 0.312], [0.001, 0.688, 0.944], [0.688, 0.944, 0.001], [0.944, 0.001, 0.688], [0.999, 0.312, 0.056], [0.312, 0.056, 0.999], [0.000, 0.000, 0.000], [0.677, 0.884, 0.347], [0.653, 0.323, 0.116], [0.116, 0.653, 0.323], [0.323, 0.116, 0.653], [0.347, 0.677, 0.884], [0.884, 0.347, 0.677]],
  "crystal_system": "trigonal",
  "dft_energy_ev_per_cell": -97.2
}


{
  "formula": "Er2BiRh",
  "functional": "PBE",
  "state": "optimized geometry",
  "lattice": [[3.545, 0.000, 0.000], [0.000, 3.545, 0.000], [0.000, 0.000, 7.692]],
  "species": ["Rh", "Bi", "Er", "Er"],
  "fractional_positions": [[0.500, 0.500, 0.000], [0.500, 0.500, 0.500], [0.000, 0.000, 0.790], [0.000, 0.000, 0.210]],
  "crystal_system": "tetragonal",
  "relative_energy_ev_per_fu": 0.32,
  "dft_energy_ev_per_cell": -23.3
}


{
  "formula": "Er4Bi8Rh3",
  "functional": "PBE",
  "state": "optimized geometry",
  "lattice": [[-2.439, 2.040, -3.336], [2.309, -2.422, -3.169], [-12.652, -13.426, 1.040]],
  "species": ["Er", "Er", "Er", "Er", "Bi", "Bi", "Bi", "Bi", "Bi", "Bi", "Bi", "Bi", "Rh", "Rh", "Rh"],
  "fractional_positions": [[0.500, 0.000, 0.391], [0.500, 0.000, 0.893], [0.000, 0.500, 0.107], [0.000, 0.500, 0.609], [0.500, 0.000, 0.078], [0.500, 0.000, 0.587], [0.000, 0.500, 0.413], [0.000, 0.500, 0.922], [0.500, 0.500, 0.246], [0.500, 0.500, 0.754], [0.000, 0.000, 0.249], [0.000, 0.000, 0.751], [0.500, 0.500, 0.500], [0.000, 0.000, 0.000], [0.000, 0.000, 0.500]],
  "crystal_system": "tetragonal",
  "dft_energy_ev_per_cell": -79.2
}


{
  "formula": "ErBiRh",
  "functional": "PBE",
  "state": "optimized geometry",
  "lattice": [[3.490, 0.000, 0.000], [0.000, 4.716, 0.000], [0.000, -2.358, 4.084]],
  "species": ["Rh", "Bi", "Er"],
  "fractional_positions": [[0.167, 0.333, 0.667], [0.167, 0.000, 0.000], [0.667, 0.667, 0.333]],
  "crystal_system": "hexagonal",
  "dft_energy_ev_per_cell": -17.6
}


{
  "formula": "Er2BiRh",
  "functional": "PBE",
  "state": "optimized geometry",
  "lattice": [[-3.639, -0.334, 2.231], [-2.979, -1.876, -5.141], [3.052, -6.294, 4.038]],
  "species": ["Er", "Er", "Er", "Er", "Bi", "Bi", "Rh", "Rh"],
  "fractional_positions": [[0.750, 0.262, 0.453], [0.250, 0.738, 0.547], [0.750, 0.657, 0.896], [0.250, 0.343, 0.104], [0.750, 0.103, 0.792], [0.250, 0.897, 0.208], [0.750, 0.619, 0.292], [0.250, 0.381, 0.708]],
  "crystal_system": "monoclinic",
  "relative_energy_ev_per_fu": 0.00,
  "dft_energy_ev_per_cell": -47.2
}


{
  "formula": "Er8Bi2Rh",
  "functional": "PBE",
  "state": "optimized geometry",
  "lattice": [[4.671, 0.000, 0.000], [0.000, 7.153, 0.732], [-2.336, -2.016, 9.219]],
  "species": ["Er", "Er", "Er", "Er", "Er", "Er", "Er", "Er", "Bi", "Bi", "Rh"],
  "fractional_positions": [[0.406, 0.480, 0.812], [0.639, 0.048, 0.278], [0.787, 0.649, 0.573], [0.003, 0.230, 0.006], [0.213, 0.351, 0.427], [0.361, 0.952, 0.722], [0.594, 0.520, 0.188], [0.997, 0.770, 0.994], [0.817, 0.213, 0.635], [0.183, 0.787, 0.365], [0.500, 0.000, 0.000]],
  "crystal_system": "monoclinic",
  "dft_energy_ev_per_cell": -56.3
}